No. 1
ZnMo2S2 after structural relaxation, computed with PBE-GGA.

Results
calculated volume: 16.811 A^3/atom
E: -61.0 eV per cell
E above lowest polymorph: 0.40 eV per formula unit
size of the total moment: 0.0 Bohr magnetons per cell

```
data_ZnMo2S2
_chemical_formula_sum 'Zn2 Mo4 S4'
_symmetry_space_group_name_H-M 'I 4/m m m'
_symmetry_Int_Tables_number 139
_symmetry_space_group_name_Hall '-I 4 2'
_cell_length_a 3.957
_cell_length_b 3.957
_cell_length_c 10.738
_cell_angle_alpha 90.00
_cell_angle_beta 90.00
_cell_angle_gamma 90.00
loop_
_atom_site_label
_atom_site_fract_x
_atom_site_fract_y
_atom_site_fract_z
Zn1 0.000 0.000 0.000
Mo1 0.000 0.000 0.378
S1 0.000 0.500 0.250
```

***

No. 2
ZnMoS3 after structural relaxation, computed with PBE-GGA.

Results
calculated volume: 20.747 A^3/atom
E: -24.0 eV per cell
E above lowest polymorph: 0.00 eV per formula unit
size of the total moment: 0.0 Bohr magnetons per cell

```
data_ZnMoS3
_chemical_formula_sum 'Zn1 Mo1 S3'
_symmetry_space_group_name_H-M 'P m -3 m'
_symmetry_Int_Tables_number 221
_symmetry_space_group_name_Hall '-P 4 2 3'
_cell_length_a 4.699
_cell_length_b 4.699
_cell_length_c 4.699
_cell_angle_alpha 90.00
_cell_angle_beta 90.00
_cell_angle_gamma 90.00
loop_
_atom_site_label
_atom_site_fract_x
_atom_site_fract_y
_atom_site_fract_z
Zn1 0.000 0.000 0.000
Mo1 0.500 0.500 0.500
S1 0.000 0.500 0.500
```

***

No. 3
ZnMoS3 after structural relaxation, computed with PBE-GGA.

Results
calculated volume: 19.368 A^3/atom
E: -20.4 eV per cell
E above lowest polymorph: 3.64 eV per formula unit
size of the total moment: 2.4 Bohr magnetons per cell

```
data_ZnMoS3
_chemical_formula_sum 'Zn1 Mo1 S3'
_symmetry_space_group_name_H-M 'P m -3 m'
_symmetry_Int_Tables_number 221
_symmetry_space_group_name_Hall '-P 4 2 3'
_cell_length_a 4.592
_cell_length_b 4.592
_cell_length_c 4.592
_cell_angle_alpha 90.00
_cell_angle_beta 90.00
_cell_angle_gamma 90.00
loop_
_atom_site_label
_atom_site_fract_x
_atom_site_fract_y
_atom_site_fract_z
Zn1 0.000 0.000 0.000
Mo1 0.500 0.500 0.500
S1 0.000 0.000 0.500
```

***

No. 4
Zn3MoS after structural relaxation, computed with PBE-GGA.

Results
calculated volume: 19.541 A^3/atom
E: -13.7 eV per cell
E above lowest polymorph: 0.00 eV per formula unit
size of the total moment: 3.0 Bohr magnetons per cell

```
data_Zn3MoS
_chemical_formula_sum 'Zn3 Mo1 S1'
_symmetry_space_group_name_H-M 'P m -3 m'
_symmetry_Int_Tables_number 221
_symmetry_space_group_name_Hall '-P 4 2 3'
_cell_length_a 4.606
_cell_length_b 4.606
_cell_length_c 4.606
_cell_angle_alpha 90.00
_cell_angle_beta 90.00
_cell_angle_gamma 90.00
loop_
_atom_site_label
_atom_site_fract_x
_atom_site_fract_y
_atom_site_fract_z
Zn1 0.000 0.000 0.500
Mo1 0.500 0.500 0.500
S1 0.000 0.000 0.000
```

***

No. 5
ZrMoS2 after structural relaxation, computed with PBE-GGA.

Results
calculated volume: 15.607 A^3/atom
E: -120.4 eV per cell
E above lowest polymorph: 0.00 eV per formula unit
size of the total moment: 7.6 Bohr magnetons per cell

```
data_ZrMoS2
_chemical_formula_sum 'Zr4 Mo4 S8'
_symmetry_space_group_name_H-M 'F m -3 m'
_symmetry_Int_Tables_number 225
_symmetry_space_group_name_Hall '-F 4 2 3'
_cell_length_a 6.297
_cell_length_b 6.297
_cell_length_c 6.297
_cell_angle_alpha 90.00
_cell_angle_beta 90.00
_cell_angle_gamma 90.00
loop_
_atom_site_label
_atom_site_fract_x
_atom_site_fract_y
_atom_site_fract_z
Zr1 0.000 0.000 0.000
Mo1 0.000 0.000 0.500
S1 0.250 0.250 0.250
```

***

No. 6
Zr4Mo2S after structural relaxation, computed with PBE-GGA.

Results
calculated volume: 21.903 A^3/atom
E: -117.1 eV per cell
size of the total moment: 0.0 Bohr magnetons per cell

```
data_Zr4Mo2S
_chemical_formula_sum 'Zr8 Mo4 S2'
_symmetry_space_group_name_H-M 'I 4/m m m'
_symmetry_Int_Tables_number 139
_symmetry_space_group_name_Hall '-I 4 2'
_cell_length_a 4.807
_cell_length_b 4.807
_cell_length_c 13.268
_cell_angle_alpha 90.00
_cell_angle_beta 90.00
_cell_angle_gamma 90.00
loop_
_atom_site_label
_atom_site_fract_x
_atom_site_fract_y
_atom_site_fract_z
Zr1 0.000 0.000 0.192
Zr2 0.000 0.500 0.000
Mo1 0.000 0.000 0.384
S1 0.000 0.000 0.000
```

***

No. 7
Zr9Mo4S after structural relaxation, computed with PBE-GGA.

Results
calculated volume: 20.495 A^3/atom
E: -256.6 eV per cell
size of the total moment: 0.0 Bohr magnetons per cell

```
data_Zr9Mo4S
_chemical_formula_sum 'Zr18 Mo8 S2'
_symmetry_space_group_name_H-M 'P 63/m m c'
_symmetry_Int_Tables_number 194
_symmetry_space_group_name_Hall '-P 6c 2c'
_cell_length_a 8.7628
_cell_length_b 8.7628
_cell_length_c 8.6297
_cell_angle_alpha 90.00
_cell_angle_beta 90.00
_cell_angle_gamma 120.00
loop_
_atom_site_label
_atom_site_fract_x
_atom_site_fract_y
_atom_site_fract_z
Zr1 0.0791 0.5396 0.2500
Zr2 0.1976 0.3952 0.5497
Mo1 0.0000 0.0000 0.0000
Mo2 0.1088 0.2176 0.2500
S1 0.3333 0.6667 0.7500
```

***

No. 8
Zr3MoS6 after structural relaxation, computed with PBE-GGA.

Results
calculated volume: 20.342 A^3/atom
E: -438.1 eV per cell
size of the total moment: 6.2 Bohr magnetons per cell

```
data_Zr3MoS6
_chemical_formula_sum 'Zr18 Mo6 S36'
_symmetry_space_group_name_H-M 'R -3'
_symmetry_Int_Tables_number 148
_symmetry_space_group_name_Hall '-R 3'
_cell_length_a 10.2410
_cell_length_b 10.2410
_cell_length_c 13.4378
_cell_angle_alpha 90.00
_cell_angle_beta 90.00
_cell_angle_gamma 120.00
loop_
_atom_site_label
_atom_site_fract_x
_atom_site_fract_y
_atom_site_fract_z
Zr1 0.0306 0.4482 0.3747
Mo1 0.0000 0.0000 0.0000
Mo2 0.0000 0.0000 0.5000
S1 0.0091 0.8129 0.1168
S2 0.0339 0.1936 0.3758
```

***

No. 9
ZrMo4S2 after structural relaxation, computed with PBE-GGA.

Results
calculated volume: 20.056 A^3/atom
E: -98.8 eV per cell
size of the total moment: 0.0 Bohr magnetons per cell

```
data_ZrMo4S2
_chemical_formula_sum 'Zr2 Mo8 S4'
_symmetry_space_group_name_H-M 'I 4/m m m'
_symmetry_Int_Tables_number 139
_symmetry_space_group_name_Hall '-I 4 2'
_cell_length_a 4.741
_cell_length_b 4.741
_cell_length_c 12.492
_cell_angle_alpha 90.00
_cell_angle_beta 90.00
_cell_angle_gamma 90.00
loop_
_atom_site_label
_atom_site_fract_x
_atom_site_fract_y
_atom_site_fract_z
Zr1 0.000 0.000 0.000
Mo1 0.000 0.000 0.211
Mo2 0.000 0.500 0.000
S1 0.000 0.000 0.394
```

***

No. 10
ZrMoS4 after structural relaxation, computed with PBE-GGA.

Results
calculated volume: 19.621 A^3/atom
E: -80.3 eV per cell
size of the total moment: 4.0 Bohr magnetons per cell

```
data_ZrMoS4
_chemical_formula_sum 'Zr2 Mo2 S8'
_symmetry_space_group_name_H-M 'P 1 21/c 1'
_symmetry_Int_Tables_number 14
_cell_length_a 6.209
_cell_length_b 6.147
_cell_length_c 6.176
_cell_angle_alpha 90.00
_cell_angle_beta 92.55
_cell_angle_gamma 90.00
loop_
_symmetry_equiv_pos_as_xyz
'x,y,z'
'-x,-y,-z'
'-x,y+1/2,-z+1/2'
'x,-y+1/2,z+1/2'
loop_
_atom_site_label
_atom_site_fract_x
_atom_site_fract_y
_atom_site_fract_z
Zr1 0.000 0.000 0.000
Mo1 0.500 0.000 0.500
S1 0.153 0.140 0.368
S2 0.367 0.648 0.342
```